# 1
Here is a crystal of TlPIr2 relaxed with PBEsol from Alexandria via LeMat-Bulk. Energies are from SCAN.

The structure belongs to space group Imm2 (No. 44); the cell edges are 2.888, 3.302 and 13.942 Å and the angles 90.00°, 90.00° and 90.00°. Symmetry generates all atoms from Tl at (0.000, 0.000, 0.000), P at (0.000, 0.500, 0.262), Ir at (0.000, 0.000, 0.634) and Ir at (0.000, 0.500, 0.831).

For the formation energy, the calculation gives 0.10 eV/atom.

# 2
Here is a crystal of SmGa4Co relaxed with PBEsol from Alexandria via LeMat-Bulk. Energies are from SCAN.

The structure belongs to space group Cmcm (No. 63); the cell edges are 4.072, 15.504 and 6.363 Å and the angles 90.00°, 90.00° and 90.00°. Symmetry generates all atoms from Sm at (0.000, 0.117, 0.250), Ga at (0.000, 0.075, 0.750), Ga at (0.000, 0.311, 0.051), Ga at (0.000, 0.500, 0.000) and Co at (0.000, 0.223, 0.750).

For the formation energy, the calculation gives -0.54 eV/atom.

# 3
Here is a crystal of Zn2Cd3 relaxed with PBEsol from Alexandria via LeMat-Bulk. Energies are from SCAN.

The structure belongs to space group R-3m (No. 166, hexagonal axes); the cell edges are 3.0640, 3.0640 and 33.9832 Å and the angles 90.00°, 90.00° and 120.00°. Symmetry generates all atoms from Zn at (0.0000, 0.0000, 0.1015), Cd at (0.0000, 0.0000, 0.2968) and Cd at (0.0000, 0.0000, 0.5000).

For the formation energy, the calculation gives 0.10 eV/atom.

# 4
Here is a crystal of SrScTe2 relaxed with PBEsol from Alexandria via LeMat-Bulk. Energies are from SCAN.

The structure belongs to space group F-43m (No. 216); the cell edges are 7.615, 7.615 and 7.615 Å and the angles 90.00°, 90.00° and 90.00°. Symmetry generates all atoms from Sr at (0.000, 0.000, 0.000), Sc at (0.250, 0.250, 0.250), Te at (0.000, 0.000, 0.500) and Te at (0.250, 0.250, 0.750).

The raw total energy is -450.192 eV per cell.